(1)
## NdCd2Hg3 (GGA-PBE)

Data for a geometry-optimized NdCd2Hg3 structure.

Values from the calculation:
Mass density in g cm⁻³: 10.68
Distance to the lowest polymorph of the same formula in meV per atom: 18.1
Crystal system: orthorhombic
E_form in eV/atom: -0.226

a b c (Å): 4.8120 13.9579 4.4946
angles (deg): 90.00 90.00 90.00
Last column: nearest neighbours and their distance in Å.
Space group Cmmm (No. 65)
Symmetry-distinct sites (fractional):
1 Nd 0.0000 0.0000 0.0000 [2 per cell]  8 Hg 3.23-3.29, 4 Cd 3.42
2 Cd 0.0000 0.3263 0.0000 [4 per cell]  8 Hg 3.17-3.31, 2 Cd 3.21, 2 Nd 3.42
3 Hg 0.0000 0.1660 0.5000 [4 per cell]  6 Cd 3.17-3.29, 2 Nd 3.23, 4 Hg 3.34-3.36
4 Hg 0.0000 0.5000 0.5000 [2 per cell]  4 Nd 3.29, 4 Cd 3.31, 4 Hg 3.34

(2)
## NaPuSb (GGA-PBE)

Data for a geometry-optimized NaPuSb structure.

Values from the calculation:
Raw formation energy in eV/f.u.: -0.563
Mass density in g cm⁻³: 7.99
Crystal system: trigonal

a b c (Å): 5.2121 5.2121 3.4353
angles (deg): 90.00 90.00 120.00
Last column: nearest neighbours and their distance in Å.
Space group P3m1 (No. 156)
Symmetry-distinct sites (fractional):
1 Na 0.0000 0.0000 0.0000 [1 per cell]  3 Sb 3.01
2 Pu 0.3333 0.6667 0.4982 [1 per cell]  2 Pu 3.44, 6 Na 3.46-3.47, 6 Sb 3.46-3.47
3 Sb 0.6667 0.3333 0.9970 [1 per cell]  3 Na 3.01

(3)
## KBa2W (GGA-PBE)

Data for a geometry-optimized KBa2W structure.

Values from the calculation:
Mass density in g cm⁻³: 4.92
Distance to the lowest polymorph of the same formula in meV per atom: 137.3
Crystal system: trigonal
E_form in eV/atom: 1.134

a b c (Å): 3.8707 3.8707 38.8700
angles (deg): 90.00 90.00 120.00
Last column: nearest neighbours and their distance in Å.
Space group R-3m (No. 166, hexagonal axes)
Symmetry-distinct sites (fractional):
1 K 0.0000 0.0000 0.0000 [3 per cell]  6 K 3.87
2 Ba 0.0000 0.0000 0.2282 [6 per cell]  3 W 3.27
3 W 0.0000 0.0000 0.5000 [3 per cell]  6 Ba 3.27

(4)
## GdThPdAu (GGA-PBE)

Data for a geometry-optimized GdThPdAu structure.

Values from the calculation:
Mass density in g cm⁻³: 11.91
Crystal system: cubic
E_form in eV/atom: -0.695

a b c (Å): 7.2832 7.2832 7.2832
angles (deg): 90.00 90.00 90.00
Last column: nearest neighbours and their distance in Å.
Space group F-43m (No. 216)
Symmetry-distinct sites (fractional):
1 Gd 0.0000 0.0000 0.0000 [4 per cell]  4 Au 3.15, 4 Pd 3.15
2 Th 0.0000 0.0000 0.5000 [4 per cell]  4 Pd 3.15, 4 Au 3.15
3 Pd 0.2500 0.2500 0.7500 [4 per cell]  4 Gd 3.15, 4 Th 3.15
4 Au 0.2500 0.2500 0.2500 [4 per cell]  4 Gd 3.15, 4 Th 3.15

> Among the records above, which one has the lowest mass density?

KBa2W

> Among the records above, which one has the highest mass density?

GdThPdAu

> Look up the mass density of the third one.

4.92 g cm⁻³